Density functional theory data (GGA-PBEsol) for an optimized crystal structure of YBi2F.

CIF file:
```
data_YBi2F
_chemical_formula_sum 'Y4 Bi8 F4'
_space_group_name_H-M_alt 'I -4 2 d'
_space_group_IT_number 122
_space_group_name_Hall 'I -4 2bw'
_cell_length_a 5.592
_cell_length_b 5.592
_cell_length_c 15.680
_cell_angle_alpha 90.00
_cell_angle_beta 90.00
_cell_angle_gamma 90.00
loop_
_atom_site_label
_atom_site_fract_x
_atom_site_fract_y
_atom_site_fract_z
_atom_site_occupancy
Y1 0.000 0.000 0.000 1
Bi1 0.128 0.250 0.625 1
F1 0.000 0.000 0.500 1
```

Values from the calculation:
size of the total moment = 0.0 μB per formula unit
DOS at the Fermi energy = 16.5 states/eV/cell
raw formation energy = -492 meV per atom